A plane-wave DFT calculation with PBE was carried out for an optimized crystal structure of Ta2AlV5.

abc: 4.4229 4.4229 12.2840
angles: 90.00 90.00 90.00
Space group I4/mmm (No. 139)
Symmetry-distinct sites (fractional):
Ta1 0.0000 0.0000 0.2490 x4
Al1 0.0000 0.0000 0.5000 x2
V1 0.0000 0.0000 0.0000 x2
V2 0.0000 0.5000 0.1223 x8

* energy of formation from the pure elements: -0.134 eV/f.u.
* total energy: -146.35 eV per cell

***

A plane-wave DFT calculation with PBE was carried out for an optimized crystal structure of Ta2AlV3.

abc: 4.9256 4.9256 13.0735
angles: 90.00 90.00 120.00
Space group R-3m (No. 166, hexagonal axes)
Symmetry-distinct sites (fractional):
Ta1 0.0000 0.0000 0.1252 x6
Al1 0.0000 0.0000 0.5000 x3
V1 0.0000 0.5000 0.0000 x9

* energy of formation from the pure elements: -0.881 eV/f.u.
* total energy: -167.05 eV per cell

***

A plane-wave DFT calculation with PBE was carried out for an optimized crystal structure of TaAlV4.

abc: 7.0834 7.0834 7.0834
angles: 90.00 90.00 90.00
Space group F-43m (No. 216)
Symmetry-distinct sites (fractional):
Ta1 0.0000 0.0000 0.0000 x4
Al1 0.2500 0.2500 0.2500 x4
V1 0.1267 0.1267 0.6267 x16

* energy of formation from the pure elements: -0.043 eV/f.u.
* total energy: -208.45 eV per cell

***

A plane-wave DFT calculation with PBE was carried out for an optimized crystal structure of Ta6AlV5.

abc: 4.4744 6.4183 13.4516
angles: 90.00 90.00 90.00
Space group Immm (No. 71)
Symmetry-distinct sites (fractional):
Ta1 0.0000 0.2355 0.0000 x4
Ta2 0.0000 0.2553 0.3300 x8
Al1 0.0000 0.0000 0.5000 x2
V1 0.0000 0.0000 0.1674 x4
V2 0.0000 0.5000 0.1623 x4
V3 0.0000 0.5000 0.5000 x2

* energy of formation from the pure elements: -0.075 eV/f.u.
* total energy: -241.05 eV per cell

***

A plane-wave DFT calculation with PBE was carried out for an optimized crystal structure of TaAlV3.

abc: 5.1752 5.0897 5.8163
angles: 90.00 90.50 90.00
Space group P2_1/m (No. 11)
Symmetry-distinct sites (fractional):
Ta1 0.1217 0.2500 0.1215 x2
Al1 0.0707 0.7500 0.3781 x2
V1 0.3784 0.7500 0.0220 x2
V2 0.3937 0.5028 0.6826 x4

* energy of formation from the pure elements: 0.379 eV/f.u.
* energy above the most stable polymorph in this dataset: 0.00 kJ per mole of atoms
* total energy: -85.14 eV per cell

***

A plane-wave DFT calculation with PBE was carried out for an optimized crystal structure of TaAl4V.

abc: 7.1730 7.1730 7.1730
angles: 90.00 90.00 90.00
Space group F-43m (No. 216)
Symmetry-distinct sites (fractional):
Ta1 0.0000 0.0000 0.0000 x4
Al1 0.1249 0.1249 0.6249 x16
V1 0.2500 0.2500 0.2500 x4

* energy of formation from the pure elements: -0.461 eV/f.u.
* total energy: -145.61 eV per cell

***

A plane-wave DFT calculation with PBE was carried out for an optimized crystal structure of TaAlV3.

abc: 4.4141 4.4141 4.4141
angles: 90.00 90.00 90.00
Space group Pm-3m (No. 221)
Symmetry-distinct sites (fractional):
Ta1 0.0000 0.0000 0.0000 x1
Al1 0.5000 0.5000 0.5000 x1
V1 0.0000 0.5000 0.5000 x3

* energy of formation from the pure elements: 5.938 eV/f.u.
* energy above the most stable polymorph in this dataset: 107.27 kJ per mole of atoms
* total energy: -37.01 eV per cell

***

A plane-wave DFT calculation with PBE was carried out for an optimized crystal structure of TaAlV2.

abc: 4.4218 5.3334 5.1790
angles: 90.00 90.00 90.00
Space group Pmmn (No. 59, origin choice 2)
Symmetry-distinct sites (fractional):
Ta1 0.2500 0.2500 0.1226 x2
Al1 0.2500 0.7500 0.1823 x2
V1 0.2500 0.5128 0.6412 x4

* energy of formation from the pure elements: -0.223 eV/f.u.
* total energy: -68.11 eV per cell

***

A plane-wave DFT calculation with PBE was carried out for an optimized crystal structure of TaAlV3.

abc: 4.6011 4.6011 4.6011
angles: 90.00 90.00 90.00
Space group Pm-3m (No. 221)
Symmetry-distinct sites (fractional):
Ta1 0.0000 0.0000 0.0000 x1
Al1 0.5000 0.5000 0.5000 x1
V1 0.0000 0.0000 0.5000 x3

* energy of formation from the pure elements: 6.914 eV/f.u.
* energy above the most stable polymorph in this dataset: 126.11 kJ per mole of atoms
* total energy: -36.04 eV per cell

***

A plane-wave DFT calculation with PBE was carried out for an optimized crystal structure of Ta3AlV.

abc: 4.6358 4.6358 4.6358
angles: 90.00 90.00 90.00
Space group Pm-3m (No. 221)
Symmetry-distinct sites (fractional):
Ta1 0.0000 0.0000 0.5000 x3
Al1 0.5000 0.5000 0.5000 x1
V1 0.0000 0.0000 0.0000 x1

* energy of formation from the pure elements: 5.304 eV/f.u.
* energy above the most stable polymorph in this dataset: 0.00 kJ per mole of atoms
* total energy: -43.12 eV per cell

***

A plane-wave DFT calculation with PBE was carried out for an optimized crystal structure of Ta2AlV9.

abc: 5.0797 5.0797 24.1786
angles: 90.00 90.00 120.00
Space group R-3m (No. 166, hexagonal axes)
Symmetry-distinct sites (fractional):
Ta1 0.0000 0.0000 0.1451 x6
Al1 0.0000 0.0000 0.0000 x3
V1 0.0000 0.0000 0.3325 x6
V2 0.0000 0.0000 0.5000 x3
V3 0.0032 0.5016 0.9169 x18

* energy of formation from the pure elements: 1.833 eV/f.u.
* total energy: -323.05 eV per cell

***

A plane-wave DFT calculation with PBE was carried out for an optimized crystal structure of TaAlV2.

abc: 7.0363 7.0363 5.2622
angles: 90.00 90.00 90.00
Space group I-42d (No. 122)
Symmetry-distinct sites (fractional):
Ta1 0.0000 0.0000 0.0000 x4
Al1 0.0000 0.0000 0.5000 x4
V1 0.2403 0.7500 0.6250 x8

* energy of formation from the pure elements: 2.276 eV/f.u.
* total energy: -126.22 eV per cell